No. 1
DFT (PBE) results for Mg3BTe after structural relaxation.

The structure in CIF format:
```
data_Mg3BTe
_space_group_name_H-M_alt 'P m -3 m'
_space_group_IT_number 221
_space_group_name_Hall '-P 4 2 3'
_cell_length_a 5.400
_cell_length_b 5.400
_cell_length_c 5.400
_cell_angle_alpha 90.00
_cell_angle_beta 90.00
_cell_angle_gamma 90.00
loop_
_atom_site_label
_atom_site_fract_x
_atom_site_fract_y
_atom_site_fract_z
Mg1 0.000 0.000 0.500
B1 0.500 0.500 0.500
Te1 0.000 0.000 0.000
```

Properties
- Size of the total moment: 0.000 μB/atom
- Theoretical density: 2.23 g/cm³
- Energy relative to the lowest polymorph listed for this composition: 126.22 kJ/mol of atoms
- Uncorrected formation energy: 1235 meV per atom

No. 2
DFT (PBE) results for Tb3Th after structural relaxation.

The structure in CIF format:
```
data_Tb3Th
_space_group_name_H-M_alt 'P m -3 m'
_space_group_IT_number 221
_space_group_name_Hall '-P 4 2 3'
_cell_length_a 5.037
_cell_length_b 5.037
_cell_length_c 5.037
_cell_angle_alpha 90.00
_cell_angle_beta 90.00
_cell_angle_gamma 90.00
loop_
_atom_site_label
_atom_site_fract_x
_atom_site_fract_y
_atom_site_fract_z
Tb1 0.000 0.000 0.500
Th1 0.500 0.500 0.500
```

Properties
- Size of the total moment: 0.000 μB/atom
- Theoretical density: 9.21 g/cm³
- Energy relative to the lowest polymorph listed for this composition: 1.87 kJ/mol of atoms